# Sr3CoAs2O8

Crystalline Sr3CoAs2O8 at its relaxed geometry (PBE with a Hubbard U, Alexandria).

Structure (extended XYZ):
```
14
Lattice="5.6989 0.0000 0.0000 -2.8494 4.9354 0.0000 0.0000 0.0000 7.3012" Properties=species:S:1:pos:R:3 pbc="T T T"
Sr 0.0000 0.0000 0.0000
Sr 0.0000 3.2903 4.6453
Sr 2.8495 1.6451 2.6559
Co 0.0000 0.0000 3.6506
As 0.0000 3.2903 1.4825
As 2.8495 1.6451 5.8187
O 0.0000 1.6467 2.3255
O -1.4233 4.1120 2.3255
O 0.0000 3.2903 6.9833
O 1.4261 0.8234 4.9757
O 1.4233 4.1120 2.3255
O 2.8495 1.6451 0.3179
O 4.2728 0.8234 4.9757
O 2.8494 3.2886 4.9757
```

## Properties
Total DFT energy (no corrections)   -6.05 eV per atom
Crystal system   trigonal
Theoretical density   4.849 g cm⁻³
Space group   P-3m1, No. 164
DOS(E_F)   0.204 states/eV per atom